First-principles (PBE) data for SrCuW4 after structural relaxation, as listed in Alexandria.

Cell lengths 5.4653, 5.4653, 5.4653 Å; angles 60.00, 60.00, 60.00 degrees
With the nearest neighbours (Å) after each atom.
Element x y z (fractional)
Sr 0.0000 0.0000 0.0000  12 W 3.20, 4 Cu 3.35
Cu 0.2500 0.2500 0.2500  12 W 3.20, 4 Sr 3.35
W 0.1253 0.6249 0.6249  6 W 2.73
W 0.6249 0.1253 0.6249  6 W 2.73
W 0.6249 0.6249 0.1253  6 W 2.73
W 0.6249 0.6249 0.6249  6 W 2.73

Output
SG ... F-43m, No. 216
Formation enthalpy at 0 K ... 945 meV/atom
V ... 115 Å³ per cell
Total magnetization ... 0.0 μB per cell